Here is a relaxed Hf3AlRu4 crystal from Alexandria. Energies are from PBE-GGA.

The space group is Pmmm (No. 47) and the conventional cell measures 3.214, 4.490 and 8.988 Å, with angles of 90.00, 90.00 and 90.00 degrees. The inequivalent atoms are Hf at (0.000, 0.000, 0.000), Hf at (0.000, 0.500, 0.261), Al at (0.000, 0.000, 0.500), Ru at (0.500, 0.000, 0.255), Ru at (0.500, 0.500, 0.000) and Ru at (0.500, 0.500, 0.500).

The volume comes out at 130 Å³/cell. The calculation puts the energy of formation at -800 meV per atom. The density of states at the Fermi level is 2.64 states/eV/f.u.

***

Here is a relaxed Hf5AlRu4 crystal from Alexandria. Energies are from PBE-GGA.

The space group is P4/mmm (No. 123) and the conventional cell measures 3.264, 3.264 and 16.338 Å, with angles of 90.00, 90.00 and 90.00 degrees. The inequivalent atoms are Hf at (0.000, 0.000, 0.000), Hf at (0.000, 0.000, 0.197), Hf at (0.000, 0.000, 0.392), Al at (0.500, 0.500, 0.500), Ru at (0.500, 0.500, 0.099) and Ru at (0.500, 0.500, 0.298).

The volume comes out at 174 Å³/cell. The calculation puts the energy of formation at -683 meV per atom. The density of states at the Fermi level is 5.08 states/eV/f.u.

***

Here is a relaxed HfAl2Ru crystal from Alexandria. Energies are from PBE-GGA.

The space group is Fm-3m (No. 225) and the conventional cell measures 6.341, 6.341 and 6.341 Å, with angles of 90.00, 90.00 and 90.00 degrees. The inequivalent atoms are Hf at (0.000, 0.000, 0.000), Al at (0.250, 0.250, 0.250) and Ru at (0.000, 0.000, 0.500).

The volume comes out at 255 Å³/cell. The calculation puts the energy of formation at -368 meV per atom. The density of states at the Fermi level is 1.74 states/eV/f.u.

***

Here is a relaxed Hf5AlRu6 crystal from Alexandria. Energies are from PBE-GGA.

The space group is Immm (No. 71) and the conventional cell measures 4.538, 6.416 and 13.603 Å, with angles of 90.00, 90.00 and 90.00 degrees. The inequivalent atoms are Hf at (0.000, 0.000, 0.000), Hf at (0.000, 0.000, 0.340), Hf at (0.000, 0.500, 0.332), Al at (0.000, 0.500, 0.000), Ru at (0.000, 0.250, 0.500) and Ru at (0.000, 0.251, 0.166).

The volume comes out at 396 Å³/cell. The calculation puts the energy of formation at -817 meV per atom. The density of states at the Fermi level is 2.37 states/eV/f.u.

***

Here is a relaxed HfAl2Ru crystal from Alexandria. Energies are from PBE-GGA.

The space group is I-42d (No. 122) and the conventional cell measures 3.816, 3.816 and 19.603 Å, with angles of 90.00, 90.00 and 90.00 degrees. The inequivalent atoms are Hf at (0.000, 0.000, 0.000), Al at (0.243, 0.250, 0.625) and Ru at (0.000, 0.000, 0.500).

The volume comes out at 285 Å³/cell. The calculation puts the energy of formation at -89 meV per atom. The density of states at the Fermi level is 2.44 states/eV/f.u.

***

Here is a relaxed HfAlRu2 crystal from Alexandria. Energies are from PBE-GGA.

The space group is I-42d (No. 122) and the conventional cell measures 6.774, 6.774 and 5.881 Å, with angles of 90.00, 90.00 and 90.00 degrees. The inequivalent atoms are Hf at (0.000, 0.000, 0.000), Al at (0.000, 0.000, 0.500) and Ru at (0.225, 0.250, 0.625).

The volume comes out at 270 Å³/cell. The calculation puts the energy of formation at 29 meV per atom. The density of states at the Fermi level is 3.55 states/eV/f.u.